! FePSe | Alexandria | SCAN | single point on PBEsol structure; values from VASP
&SYSTEM
  ibrav = 0, nat = 3, ntyp = 3
/
ATOMIC_SPECIES
Fe 55.84 Fe.upf
P 30.97 P.upf
Se 78.96 Se.upf
ATOMIC_POSITIONS angstrom
Fe 0.0000 0.0000 0.0627
P 1.3892 1.3892 1.4175
Se 0.0000 0.0000 4.2789
CELL_PARAMETERS angstrom
2.7783 0.0000 0.0000
0.0000 2.7783 0.0000
-1.3892 -1.3892 5.7591
! - Energy relative to the elements, uncorrected: 0.173 eV/atom
! - Space group: I4mm